# MnZn2GeO (GGA+U, optimized geometry)
# Crystal system = tetragonal
# Raw total energy = -2.980 eV per atom
# D(E_F) = 3.5 states/eV/cell
data_MnZn2GeO
_cell_length_a 4.881
_cell_length_b 4.881
_cell_length_c 4.685
_cell_angle_alpha 90.00
_cell_angle_beta 90.00
_cell_angle_gamma 90.00
_symmetry_space_group_name_H-M 'P 4/m m m'
_symmetry_Int_Tables_number 123
_symmetry_space_group_name_Hall '-P 4 2'
loop_
_atom_site_label
_atom_site_fract_x
_atom_site_fract_y
_atom_site_fract_z
_atom_site_occupancy
Mn1 0.000 0.000 0.000 1
Zn1 0.000 0.500 0.000 1
Ge1 0.000 0.000 0.500 1
O1 0.500 0.500 0.500 1